Here is a geometry-optimized KSr2Br2 structure from the Alexandria database. Energies are from PBE-GGA.

Output
Formation energy from raw total energies   -1149 meV/atom
Uncorrected energy   -2.710 eV/atom

Unit cell a=5.504 b=5.504 c=8.460 alpha=71.02 beta=71.02 gamma=90.00
Fractional positions:
Sr 0.361 0.361 0.277
Sr 0.639 0.639 0.723
K 0.000 0.000 0.000
Br 0.750 0.250 0.500
Br 0.250 0.750 0.500